Record 1
ScOsAu | Alexandria via LeMat-Bulk | GGA-PBE | relaxed; calculated volume = 17.43 Å³ per atom; excess energy over the best structure of this formula in the dataset = 3 kJ/mol of formula units
1.0
2.9257 0.0000 0.0000
0.0000 2.9257 0.0000
0.0000 0.0000 12.2150
Sc Os Au
2 2 2
Direct
0.0000 0.0000 0.0000
0.5000 0.5000 0.5000
0.0000 0.0000 0.3469
0.5000 0.5000 0.8469
0.0000 0.0000 0.6785
0.5000 0.5000 0.1785

=====

Record 2
ScOsAu | Alexandria via LeMat-Bulk | GGA-PBE | relaxed; calculated volume = 17.29 Å³ per atom; excess energy over the best structure of this formula in the dataset = 10 kJ/mol of formula units
1.0
3.3602 0.0000 0.0000
0.0000 4.6180 0.0000
0.0000 0.0000 13.3682
Sc Os Au
4 4 4
Direct
0.0000 0.0000 0.0000
0.0000 0.5000 0.5000
0.5000 0.0000 0.5000
0.5000 0.5000 0.0000
0.0000 0.0000 0.3509
0.0000 0.5000 0.8509
0.5000 0.0000 0.8509
0.5000 0.5000 0.3509
0.0000 0.0000 0.6734
0.0000 0.5000 0.1734
0.5000 0.0000 0.1734
0.5000 0.5000 0.6734

=====

Record 3
Sc4OsAu3 | Alexandria via LeMat-Bulk | GGA-PBE | relaxed; calculated volume = 18.94 Å³ per atom; calculated total energy = -52.20 eV/cell
1.0
3.3268 0.0000 0.0000
0.0000 3.3268 0.0000
0.0000 0.0000 13.6904
Sc Os Au
4 1 3
Direct
0.0000 0.0000 0.1118
0.0000 0.0000 0.3711
0.0000 0.0000 0.6289
0.0000 0.0000 0.8882
0.5000 0.5000 0.0000
0.5000 0.5000 0.2459
0.5000 0.5000 0.5000
0.5000 0.5000 0.7541

=====

Record 4
Sc2OsAu | Alexandria via LeMat-Bulk | GGA-PBE | relaxed; calculated volume = 17.83 Å³ per atom; calculated total energy = -110.79 eV/cell
1.0
6.5827 0.0000 0.0000
0.0000 6.5827 0.0000
0.0000 0.0000 6.5827
Sc Os Au
8 4 4
Direct
0.0000 0.0000 0.0000
0.0000 0.5000 0.5000
0.2500 0.2500 0.2500
0.2500 0.7500 0.7500
0.5000 0.0000 0.5000
0.5000 0.5000 0.0000
0.7500 0.2500 0.7500
0.7500 0.7500 0.2500
0.2500 0.2500 0.7500
0.2500 0.7500 0.2500
0.7500 0.2500 0.2500
0.7500 0.7500 0.7500
0.0000 0.0000 0.5000
0.0000 0.5000 0.0000
0.5000 0.0000 0.0000
0.5000 0.5000 0.5000

=====

Record 5
ScOsAu2 | Alexandria via LeMat-Bulk | GGA-PBE | relaxed; calculated volume = 17.14 Å³ per atom; calculated total energy = -49.10 eV/cell
1.0
4.0189 0.0000 0.0000
0.0000 4.0189 0.0000
0.0000 0.0000 8.4875
Sc Os Au
2 2 4
Direct
0.0000 0.0000 0.0000
0.5000 0.5000 0.5000
0.0000 0.0000 0.5000
0.5000 0.5000 0.0000
0.0000 0.5000 0.2500
0.0000 0.5000 0.7500
0.5000 0.0000 0.2500
0.5000 0.0000 0.7500

=====

Record 6
Sc5OsAu4 | Alexandria via LeMat-Bulk | GGA-PBE | relaxed; calculated volume = 19.07 Å³ per atom; calculated total energy = -63.42 eV/cell
1.0
3.3388 0.0000 0.0000
0.0000 3.3388 0.0000
0.0000 0.0000 17.1046
Sc Os Au
5 1 4
Direct
0.0000 0.0000 0.0000
0.0000 0.0000 0.2044
0.0000 0.0000 0.4107
0.0000 0.0000 0.5893
0.0000 0.0000 0.7956
0.5000 0.5000 0.5000
0.5000 0.5000 0.1010
0.5000 0.5000 0.3048
0.5000 0.5000 0.6952
0.5000 0.5000 0.8990